Density functional theory data (GGA-PBE) for an optimized crystal structure of YMgW.

As for the formation energy from the elements: 1.548 eV/atom. The value obtained for the total energy is -5.456 eV per atom.

a = 4.8870 Å, b = 4.8870 Å, c = 4.8870 Å
α = 60.00°, β = 60.00°, γ = 60.00°
With the nearest neighbours (Å) after each atom.
Positions (direct):
Mg (0.0000, 0.0000, 0.0000)  4 Y 2.99
Y (0.7500, 0.7500, 0.7500)  4 W 2.99, 4 Mg 2.99
W (0.5000, 0.5000, 0.5000)  4 Y 2.99